Here is crystalline BaAgIr2 at its relaxed geometry from Alexandria. Energies are from GGA-PBE.

abc: 9.8315 3.0122 6.0464
angles: 90.00 99.91 90.00
With the nearest neighbours (Å) after each atom.
Positions (direct):
Ba 0.0000 0.0000 0.0000  2 Ba 3.01, 6 Ir 3.33-3.35
Ba 0.5000 0.5000 0.0000  2 Ba 3.01, 6 Ir 3.33-3.35
Ag 0.0000 0.5000 0.5000  6 Ir 2.81-2.94, 2 Ag 3.01
Ag 0.5000 0.0000 0.5000  6 Ir 2.81-2.94, 2 Ag 3.01
Ir 0.2363 0.0000 0.6669  2 Ir 2.57, 2 Ag 2.81
Ir 0.2637 0.5000 0.3331  2 Ir 2.57, 2 Ag 2.81
Ir 0.7363 0.5000 0.6669  2 Ir 2.57, 2 Ag 2.81
Ir 0.7637 0.0000 0.3331  2 Ir 2.57, 2 Ag 2.81

Summary:
DOS(E_F) = 6.73 states/eV per cell
Final energy = -0.377 Ry per atom
V = 22.0 Å³ per atom


Here is crystalline La5NdYHo2 at its relaxed geometry from Alexandria. Energies are from GGA-PBE.

abc: 11.2521 11.2521 10.6905
angles: 90.00 90.00 151.61
With the nearest neighbours (Å) after each atom.
Positions (direct):
La 0.0003 0.9997 0.0000  2 Y 3.45-3.46, 4 Ho 3.69-3.70, 6 La 3.77-3.84
La 0.9997 0.0003 0.5000  2 Y 3.45-3.46, 4 Ho 3.69-3.70, 6 La 3.77-3.84
La 0.1225 0.8775 0.7503  1 Nd 3.55, 6 La 3.77-3.96, 4 Ho 3.87
La 0.2207 0.7793 0.4421  2 La 3.29, 1 Y 3.33, 3 Nd 3.43-3.59
La 0.2217 0.7783 0.0608  2 La 3.29, 1 Y 3.33, 3 Nd 3.43-3.59
La 0.4994 0.5006 0.2501  2 Y 3.53, 4 Ho 3.61-3.65, 6 La 3.83-3.84
La 0.5006 0.4994 0.7501  2 Y 3.53, 4 Ho 3.61-3.65, 6 La 3.83-3.84
La 0.7783 0.2217 0.5608  2 La 3.29, 1 Y 3.33, 3 Nd 3.43-3.59
La 0.7793 0.2207 0.9421  2 La 3.29, 1 Y 3.33, 3 Nd 3.43-3.59
La 0.8775 0.1225 0.2503  1 Nd 3.55, 6 La 3.77-3.96, 4 Ho 3.87
Nd 0.2852 0.7148 0.7513  7 La 3.43-3.59, 2 Ho 3.45-3.46, 2 Y 3.72
Nd 0.7148 0.2852 0.2513  7 La 3.43-3.59, 2 Ho 3.45-3.46, 2 Y 3.72
Y 0.1003 0.8997 0.2503  6 La 3.33-3.53, 2 Nd 3.72
Y 0.8997 0.1003 0.7503  6 La 3.33-3.53, 2 Nd 3.72
Ho 0.3870 0.6130 0.5029  1 Nd 3.46, 9 La 3.62-3.87, 2 Y 3.83
Ho 0.3878 0.6122 0.9974  1 Nd 3.45, 7 La 3.61-3.69, 2 Y 3.83
Ho 0.6122 0.3878 0.4974  1 Nd 3.45, 7 La 3.61-3.69, 2 Y 3.83
Ho 0.6130 0.3870 0.0029  1 Nd 3.46, 9 La 3.62-3.87, 2 Y 3.83

Summary:
DOS(E_F) = 27.25 states/eV per cell
Final energy = -0.358 Ry per atom
V = 35.7 Å³ per atom